No. 1
LiErZn10 | GGA-PBE | relaxed

The formation energy is -0.164 eV per atom. For the density of states at the Fermi level, the calculation gives 0.33 states/eV per atom. The total magnetic moment is 0.000 μB/atom.

abc: 4.299 5.143 9.076
angles: 90.00 90.00 90.00
Element x y z (fractional)
1 Zn 0.000 0.000 0.656
2 Zn 0.500 0.000 0.500
3 Zn 0.000 0.500 0.185
4 Zn 0.500 0.243 0.759
5 Zn 0.500 0.243 0.241
6 Zn 0.500 0.757 0.759
7 Zn 0.000 0.500 0.815
8 Zn 0.500 0.757 0.241
9 Zn 0.500 0.500 0.000
10 Zn 0.000 0.000 0.344
11 Li 0.000 0.500 0.500
12 Er 0.000 0.000 0.000

=====

No. 2
LiCe2BePt2 | GGA-PBE | relaxed

The formation energy is -0.691 eV per atom. For the density of states at the Fermi level, the calculation gives 1.36 states/eV per atom. The total magnetic moment is 0.167 μB/atom.

abc: 5.527 5.908 8.199
angles: 111.12 109.70 90.00
Element x y z (fractional)
1 Ce 0.608 0.839 0.679
2 Ce 0.929 0.661 0.321
3 Ce 0.071 0.339 0.679
4 Ce 0.392 0.161 0.321
5 Pt 0.840 0.116 0.232
6 Pt 0.160 0.884 0.768
7 Pt 0.392 0.616 0.232
8 Pt 0.608 0.384 0.768
9 Li 0.000 0.250 0.000
10 Li 0.000 0.750 0.000
11 Be 0.500 0.750 0.000
12 Be 0.500 0.250 0.000

=====

No. 3
La2AgBr | GGA-PBE | relaxed

The calculation puts the uncorrected formation energy at -0.50 eV/atom. For the density of states at the Fermi level, the calculation gives 1.05 states/eV per atom. Its polymorph energy (0 for the lowest one) is 98 kJ/mol of formula units. The total magnetic moment is 0.087 μB/atom.

abc: 7.079 7.079 7.079
angles: 144.18 144.18 51.56
Element x y z (fractional)
1 Br 0.750 0.250 0.500
2 Ag 0.500 0.500 0.000
3 La 0.000 0.000 0.000
4 La 0.250 0.750 0.500

=====

> The lowest total magnetic moment belongs to which entry?

LiErZn10

=====

> Look up the total magnetic moment of the third one.

0.087 μB/atom

=====

> Which value of total magnetic moment does entry 1 give?

0.000 μB/atom